(1)
DFT (meta-GGA SCAN) results for a PBEsol-optimized structure of Sr2MgCd.

Computed properties:
The energy above the most stable polymorph in this dataset comes out at 0.38 kJ per mole of atoms.

Lattice parameters (Å, degrees): 8.0900 8.0900 8.0900 90.00 90.00 90.00
Last column: nearest neighbours and their distance in Å.
Space group Fm-3m (No. 225)
One atom of each set of equivalent atoms:
1 Sr 0.2500 0.2500 0.2500 (multiplicity 8)  4 Cd 3.50, 4 Mg 3.50
2 Mg 0.0000 0.0000 0.0000 (multiplicity 4)  8 Sr 3.50
3 Cd 0.0000 0.0000 0.5000 (multiplicity 4)  8 Sr 3.50

(2)
DFT (meta-GGA SCAN) results for a PBEsol-optimized structure of Sr2MgCd.

Computed properties:
The energy above the most stable polymorph in this dataset comes out at 0.00 kJ per mole of atoms.

Lattice parameters (Å, degrees): 4.0677 5.7120 5.7111 90.00 90.00 90.00
Last column: nearest neighbours and their distance in Å.
Space group Pmm2 (No. 25)
One atom of each set of equivalent atoms:
1 Sr 0.0000 0.0000 0.0000 (multiplicity 1)  4 Mg 3.50-3.51, 4 Cd 3.51
2 Sr 0.0000 0.5000 0.4989 (multiplicity 1)  4 Cd 3.50-3.51, 4 Mg 3.51
3 Mg 0.5000 0.0000 0.5008 (multiplicity 1)  8 Sr 3.50-3.51
4 Cd 0.5000 0.5000 0.9984 (multiplicity 1)  8 Sr 3.50-3.51

(3)
DFT (meta-GGA SCAN) results for a PBEsol-optimized structure of Sr2MgCd.

Computed properties:
The energy above the most stable polymorph in this dataset comes out at 6.02 kJ per mole of atoms.

Lattice parameters (Å, degrees): 3.9203 3.9203 8.9897 90.00 90.00 90.00
Last column: nearest neighbours and their distance in Å.
Space group P4mm (No. 99)
One atom of each set of equivalent atoms:
1 Sr 0.0000 0.0000 0.0000 (multiplicity 1)  4 Mg 3.57, 1 Cd 3.63, 4 Sr 3.92
2 Sr 0.5000 0.5000 0.3643 (multiplicity 1)  1 Mg 3.47, 4 Cd 3.47
3 Mg 0.5000 0.5000 0.7501 (multiplicity 1)  4 Cd 3.10, 1 Sr 3.47
4 Cd 0.0000 0.0000 0.5966 (multiplicity 1)  4 Mg 3.10

(4)
DFT (meta-GGA SCAN) results for a PBEsol-optimized structure of SrMg3Cd.

Lattice parameters (Å, degrees): 6.4570 6.4570 6.4570 90.00 90.00 90.00
Last column: nearest neighbours and their distance in Å.
Space group Pm-3m (No. 221)
One atom of each set of equivalent atoms:
1 Sr 0.0000 0.0000 0.0000 (multiplicity 1)  6 Mg 3.23
2 Mg 0.0000 0.0000 0.5000 (multiplicity 3)  2 Sr 3.23
3 Cd 0.5000 0.5000 0.5000 (multiplicity 1)  12 Mg 4.57

(5)
DFT (meta-GGA SCAN) results for a PBEsol-optimized structure of SrMgCd.

Lattice parameters (Å, degrees): 3.7737 3.7737 12.1210 90.00 90.00 90.00
Last column: nearest neighbours and their distance in Å.
Space group I4mm (No. 107)
One atom of each set of equivalent atoms:
1 Sr 0.0000 0.0000 0.0000 (multiplicity 2)  5 Cd 3.46-3.86, 5 Mg 3.60-3.63, 4 Sr 3.77
2 Mg 0.0000 0.0000 0.7027 (multiplicity 2)  4 Cd 3.01
3 Cd 0.0000 0.0000 0.3182 (multiplicity 2)  4 Mg 3.01

(6)
DFT (meta-GGA SCAN) results for a PBEsol-optimized structure of SrMgTl2Cd.

Lattice parameters (Å, degrees): 5.4926 5.4926 6.0913 90.00 90.00 90.00
Last column: nearest neighbours and their distance in Å.
Space group P4/mmm (No. 123)
One atom of each set of equivalent atoms:
1 Sr 0.0000 0.0000 0.0000 (multiplicity 1)  2 Cd 3.05
2 Mg 0.5000 0.5000 0.0000 (multiplicity 1)  4 Sr 3.88, 8 Tl 4.10
3 Tl 0.0000 0.5000 0.5000 (multiplicity 2)  2 Cd 2.75
4 Cd 0.0000 0.0000 0.5000 (multiplicity 1)  4 Tl 2.75, 2 Sr 3.05

(7)
DFT (meta-GGA SCAN) results for a PBEsol-optimized structure of MgTa2Cd.

Computed properties:
The energy above the most stable polymorph in this dataset comes out at 13.47 kJ per mole of atoms.

Lattice parameters (Å, degrees): 2.9056 2.9056 30.6029 90.00 90.00 120.00
Last column: nearest neighbours and their distance in Å.
Space group R-3m (No. 166, hexagonal axes)
One atom of each set of equivalent atoms:
1 Mg 0.0000 0.0000 0.0000 (multiplicity 3)  6 Mg 2.91, 6 Ta 3.07
2 Ta 0.0000 0.0000 0.2495 (multiplicity 6)  6 Ta 2.91, 3 Cd 3.04, 3 Mg 3.07
3 Cd 0.0000 0.0000 0.5000 (multiplicity 3)  6 Cd 2.91, 6 Ta 3.04

(8)
DFT (meta-GGA SCAN) results for a PBEsol-optimized structure of MgTa2Cd.

Computed properties:
The energy above the most stable polymorph in this dataset comes out at 0.00 kJ per mole of atoms.

Lattice parameters (Å, degrees): 3.4220 3.4220 6.5662 90.00 90.00 90.00
Last column: nearest neighbours and their distance in Å.
Space group P4mm (No. 99)
One atom of each set of equivalent atoms:
1 Mg 0.0000 0.0000 0.0000 (multiplicity 1)  4 Cd 2.94, 5 Ta 3.03-3.04
2 Ta 0.0000 0.0000 0.4626 (multiplicity 1)  4 Ta 2.71
3 Ta 0.5000 0.5000 0.2766 (multiplicity 1)  4 Ta 2.71, 4 Mg 3.03
4 Cd 0.5000 0.5000 0.7469 (multiplicity 1)  4 Mg 2.94, 5 Ta 3.06-3.09

(9)
DFT (meta-GGA SCAN) results for a PBEsol-optimized structure of MgTaCd.

Lattice parameters (Å, degrees): 4.0579 4.0835 13.6549 90.00 90.00 90.00
Last column: nearest neighbours and their distance in Å.
Space group Fmm2 (No. 42)
One atom of each set of equivalent atoms:
1 Mg 0.0000 0.0000 0.0000 (multiplicity 4)  4 Mg 2.88, 4 Ta 3.01-3.02, 4 Cd 3.11-3.12
2 Ta 0.0000 0.0000 0.6631 (multiplicity 4)  4 Ta 2.88, 4 Mg 3.01-3.02, 4 Cd 3.02-3.03
3 Cd 0.0000 0.0000 0.3272 (multiplicity 4)  4 Cd 2.88, 4 Ta 3.02-3.03, 4 Mg 3.11-3.12

(10)
DFT (meta-GGA SCAN) results for a PBEsol-optimized structure of Mg2TaCd.

Lattice parameters (Å, degrees): 4.2393 4.2393 8.5227 90.00 90.00 90.00
Last column: nearest neighbours and their distance in Å.
Space group I-4m2 (No. 119)
One atom of each set of equivalent atoms:
1 Mg 0.0000 0.0000 0.0000 (multiplicity 2)  4 Ta 3.00, 4 Cd 3.01, 4 Mg 3.01
2 Mg 0.0000 0.5000 0.2500 (multiplicity 2)  4 Cd 3.00, 4 Ta 3.01, 4 Mg 3.01
3 Ta 0.0000 0.0000 0.5000 (multiplicity 2)  8 Mg 3.00-3.01, 4 Cd 3.01
4 Cd 0.0000 0.5000 0.7500 (multiplicity 2)  8 Mg 3.00-3.01, 4 Ta 3.01

(11)
DFT (meta-GGA SCAN) results for a PBEsol-optimized structure of MgTaCd2.

Lattice parameters (Å, degrees): 6.7605 6.7605 6.7605 90.00 90.00 90.00
Last column: nearest neighbours and their distance in Å.
Space group F-43m (No. 216)
One atom of each set of equivalent atoms:
1 Mg 0.0000 0.0000 0.0000 (multiplicity 4)  4 Ta 2.93, 4 Cd 2.93
2 Ta 0.2500 0.2500 0.2500 (multiplicity 4)  4 Cd 2.93, 4 Mg 2.93
3 Cd 0.0000 0.0000 0.5000 (multiplicity 4)  4 Cd 2.93, 4 Ta 2.93
4 Cd 0.2500 0.2500 0.7500 (multiplicity 4)  4 Cd 2.93, 4 Mg 2.93

(12)
DFT (meta-GGA SCAN) results for a PBEsol-optimized structure of Mg2TaCd.

Lattice parameters (Å, degrees): 6.7687 6.7687 6.7687 90.00 90.00 90.00
Last column: nearest neighbours and their distance in Å.
Space group F-43m (No. 216)
One atom of each set of equivalent atoms:
1 Mg 0.0000 0.0000 0.0000 (multiplicity 4)  4 Cd 2.93, 4 Mg 2.93
2 Mg 0.2500 0.2500 0.2500 (multiplicity 4)  4 Ta 2.93, 4 Mg 2.93
3 Ta 0.0000 0.0000 0.5000 (multiplicity 4)  4 Cd 2.93, 4 Mg 2.93
4 Cd 0.2500 0.2500 0.7500 (multiplicity 4)  4 Ta 2.93, 4 Mg 2.93

| no. | energy relative to the elements (eV per atom) |
| --- | --- |
| 1 | -0.212 |
| 2 | -0.216 |
| 3 | -0.153 |
| 4 | 1.076 |
| 5 | -0.216 |
| 6 | 0.233 |
| 7 | 0.358 |
| 8 | 0.219 |
| 9 | 0.148 |
| 10 | 0.416 |
| 11 | 0.521 |
| 12 | 0.434 |